Entry 1:
Here is a relaxed HfRuSCl2 crystal from Alexandria. Energies are from PBE.

a b c (Å): 4.929 4.929 4.942
angles (deg): 90.00 90.00 90.00
Site moments in Bohr magnetons follow the coordinates.
Element x y z (fractional)
Ru 0.500 0.500 0.500  2.53
S 0.000 0.000 0.500  0.01
Hf 0.000 0.000 0.000  -0.07
Cl 0.000 0.500 0.000  0.02
Cl 0.500 0.000 0.000  0.02

## Properties
The symmetry is P4/mmm (123). As for the formation energy without anion corrections: -0.01 eV/atom. Its calculated volume is 24.0 Å³ per atom.

Entry 2:
Here is a relaxed HfRuSCl2 crystal from Alexandria. Energies are from PBE.

a b c (Å): 4.609 4.609 4.708
angles (deg): 90.00 90.00 90.00
Element x y z (fractional)
Ru 0.000 0.000 0.000
S 0.000 0.000 0.500
Hf 0.500 0.500 0.500
Cl 0.000 0.500 0.000
Cl 0.500 0.000 0.000

## Properties
The symmetry is P4/mmm (123). As for the formation energy without anion corrections: 0.33 eV/atom. Its calculated volume is 20.0 Å³ per atom.

Entry 3:
Here is a relaxed HfRuS2Cl crystal from Alexandria. Energies are from PBE.

a b c (Å): 4.962 4.962 4.859
angles (deg): 90.00 90.00 90.00
Site moments in Bohr magnetons follow the coordinates.
Element x y z (fractional)
Ru 0.500 0.500 0.500  2.65
S 0.000 0.500 0.000  0.04
S 0.500 0.000 0.000  0.04
Hf 0.000 0.000 0.000  -0.01
Cl 0.000 0.000 0.500  0.01

## Properties
The symmetry is P4/mmm (123). As for the formation energy without anion corrections: -0.01 eV/atom. Its calculated volume is 23.9 Å³ per atom.

Entry 4:
Here is a relaxed HfRuS2Cl crystal from Alexandria. Energies are from PBE.

a b c (Å): 4.618 4.618 4.540
angles (deg): 90.00 90.00 90.00
Element x y z (fractional)
Ru 0.000 0.000 0.000
S 0.000 0.500 0.000
S 0.500 0.000 0.000
Hf 0.500 0.500 0.500
Cl 0.000 0.000 0.500

## Properties
The symmetry is P4/mmm (123). As for the formation energy without anion corrections: 0.22 eV/atom. Its calculated volume is 19.4 Å³ per atom.

Entry 5:
Here is a relaxed SrHfRu2Cl crystal from Alexandria. Energies are from PBE.

a b c (Å): 4.701 7.091 4.701
angles (deg): 90.00 90.00 90.00
Site moments in Bohr magnetons follow the coordinates.
Element x y z (fractional)
Ru 0.000 0.000 0.500  0.66
Ru 0.500 0.000 0.000  0.98
Cl 0.500 0.500 0.500  -0.01
Hf 0.000 0.000 0.000  -0.15
Sr 0.000 0.500 0.000  -0.02

## Properties
The symmetry is P4/mmm (123). As for the formation energy without anion corrections: 0.66 eV/atom. Its calculated volume is 31.3 Å³ per atom.

Entry 6:
Here is a relaxed SrHfRu2Cl crystal from Alexandria. Energies are from PBE.

a b c (Å): 4.545 5.029 4.545
angles (deg): 90.00 90.00 90.00
Element x y z (fractional)
Ru 0.000 0.000 0.500
Ru 0.500 0.000 0.000
Cl 0.000 0.000 0.000
Hf 0.500 0.500 0.500
Sr 0.000 0.500 0.000

## Properties
The symmetry is P4/mmm (123). As for the formation energy without anion corrections: 0.79 eV/atom. Its calculated volume is 20.8 Å³ per atom.